This record from Alexandria describes a relaxed PuReRu crystal. The functional is PBE.

Summary:
Magnetization in μB/atom: 1.524
Space group: Imma, No. 74
Crystal system: orthorhombic
Electronic total energy in eV per atom: -12.058
DOS at the Fermi energy in states/eV per atom: 2.912

Cell lengths 5.3717, 5.3717, 5.3717 Å; angles 123.55, 116.40, 90.16 degrees
Fractional positions:
Pu 0.3781 0.1281 0.2500
Pu 0.6219 0.8719 0.7500
Re 0.0000 0.0000 0.5000
Re 0.0000 0.5000 0.0000
Ru 0.0000 0.5000 0.5000
Ru 0.5000 0.5000 0.0000

This record from Alexandria describes a relaxed FeOs3 crystal. The functional is PBE.

Summary:
Magnetization in μB/atom: 0.532
Space group: R-3m, No. 166
Crystal system: trigonal
Electronic total energy in eV per atom: -10.365
DOS at the Fermi energy in states/eV per atom: 1.011

Cell lengths 8.8305, 8.8305, 8.8305 Å; angles 17.65, 17.65, 17.65 degrees
Fractional positions:
Fe 0.0000 0.0000 0.0000
Os 0.2520 0.2520 0.2520
Os 0.5000 0.5000 0.5000
Os 0.7480 0.7480 0.7480

This record from Alexandria describes a relaxed Pb2C crystal. The functional is PBE.

Summary:
Magnetization in μB/atom: 0.000
Space group: P6_3/mmc, No. 194
Crystal system: hexagonal
Electronic total energy in eV per atom: -4.358
DOS at the Fermi energy in states/eV per atom: 0.763

Cell lengths 8.3207, 8.3207, 9.4596 Å; angles 90.00, 90.00, 120.00 degrees
Fractional positions:
Pb 0.0000 0.0000 0.0000
Pb 0.0000 0.0000 0.5000
Pb 0.1511 0.3023 0.2500
Pb 0.1511 0.8489 0.2500
Pb 0.3023 0.1511 0.7500
Pb 0.6977 0.8489 0.2500
Pb 0.8489 0.1511 0.7500
Pb 0.8489 0.6977 0.7500
C 0.3333 0.6667 0.1818
C 0.3333 0.6667 0.3182
C 0.6667 0.3333 0.6818
C 0.6667 0.3333 0.8182

This record from Alexandria describes a relaxed Ti5Zn4Mo crystal. The functional is PBE.

Summary:
Magnetization in μB/atom: 0.000
Space group: P4/mmm, No. 123
Crystal system: tetragonal
Electronic total energy in eV per atom: -5.734
DOS at the Fermi energy in states/eV per atom: 0.707

Cell lengths 3.2069, 3.2069, 15.2895 Å; angles 90.00, 90.00, 90.00 degrees
Fractional positions:
Ti 0.0000 0.0000 0.0000
Ti 0.0000 0.0000 0.2000
Ti 0.0000 0.0000 0.4049
Ti 0.0000 0.0000 0.5951
Ti 0.0000 0.0000 0.8000
Zn 0.5000 0.5000 0.0996
Zn 0.5000 0.5000 0.3001
Zn 0.5000 0.5000 0.6999
Zn 0.5000 0.5000 0.9004
Mo 0.5000 0.5000 0.5000

This record from Alexandria describes a relaxed Sm4Zn3Ga crystal. The functional is PBE.

Summary:
Magnetization in μB/atom: 0.000
Space group: Pmm2, No. 25
Crystal system: orthorhombic
Electronic total energy in eV per atom: -3.563
DOS at the Fermi energy in states/eV per atom: 0.853

Cell lengths 3.6774, 4.5221, 11.8345 Å; angles 90.00, 90.00, 90.00 degrees
Fractional positions:
Sm 0.0000 0.0000 0.0000
Sm 0.0000 0.5000 0.3025
Sm 0.5000 0.0000 0.4984
Sm 0.5000 0.5000 0.8030
Zn 0.0000 0.5000 0.5849
Zn 0.5000 0.0000 0.2165
Zn 0.5000 0.5000 0.0857
Ga 0.0000 0.0000 0.7194

This record from Alexandria describes a relaxed Ce8GeBi2 crystal. The functional is PBE.

Summary:
Magnetization in μB/atom: 0.300
Space group: C2/m, No. 12
Crystal system: monoclinic
Electronic total energy in eV per atom: -5.779
DOS at the Fermi energy in states/eV per atom: 2.620

Cell lengths 9.5963, 9.5963, 7.6960 Å; angles 98.07, 98.07, 25.59 degrees
Fractional positions:
Ce 0.0145 0.0145 0.2550
Ce 0.2065 0.2065 0.3169
Ce 0.3373 0.3373 0.9275
Ce 0.4217 0.4217 0.5440
Ce 0.5783 0.5783 0.4560
Ce 0.6627 0.6627 0.0725
Ce 0.7935 0.7935 0.6831
Ce 0.9855 0.9855 0.7450
Ge 0.5000 0.5000 0.0000
Bi 0.1647 0.1647 0.7431
Bi 0.8353 0.8353 0.2569

Repeat the sixth record exactly.
This record from Alexandria describes a relaxed Ce8GeBi2 crystal. The functional is PBE.

Summary:
Magnetization in μB/atom: 0.300
Space group: C2/m, No. 12
Crystal system: monoclinic
Electronic total energy in eV per atom: -5.779
DOS at the Fermi energy in states/eV per atom: 2.620

Cell lengths 9.5963, 9.5963, 7.6960 Å; angles 98.07, 98.07, 25.59 degrees
Fractional positions:
Ce 0.0145 0.0145 0.2550
Ce 0.2065 0.2065 0.3169
Ce 0.3373 0.3373 0.9275
Ce 0.4217 0.4217 0.5440
Ce 0.5783 0.5783 0.4560
Ce 0.6627 0.6627 0.0725
Ce 0.7935 0.7935 0.6831
Ce 0.9855 0.9855 0.7450
Ge 0.5000 0.5000 0.0000
Bi 0.1647 0.1647 0.7431
Bi 0.8353 0.8353 0.2569